Record 1
This record from the Alexandria database describes ErBi2IrO8 after structural relaxation. The functional is PBE-GGA.

a = 5.071 Å, b = 6.766 Å, c = 5.104 Å
α = 90.00°, β = 90.38°, γ = 90.00°
Space group P2/m (No. 10)
Unique sites:
Er (0.000, 0.000, 0.000) (multiplicity 1)
Bi (0.500, 0.254, 0.500) (multiplicity 2)
Ir (0.000, 0.500, 0.000) (multiplicity 1)
O (0.159, 0.276, 0.202) (multiplicity 4)
O (0.293, 0.500, 0.775) (multiplicity 2)
O (0.326, 0.000, 0.706) (multiplicity 2)

- Formation energy without anion corrections: -1423.5 meV/atom
- DOS at the Fermi energy: 5.47 states/eV/cell

***

Record 2
This record from the Alexandria database describes DyHfNi after structural relaxation. The functional is PBE-GGA.

a = 6.328 Å, b = 6.417 Å, c = 6.406 Å
α = 90.00°, β = 90.00°, γ = 90.00°
Space group Pbcm (No. 57)
Unique sites:
Dy (0.117, 0.066, 0.250) (multiplicity 4)
Hf (0.462, 0.750, 0.000) (multiplicity 4)
Ni (0.307, 0.021, 0.750) (multiplicity 4)

- Relative energy among the computed polymorphs: 0.0 meV per atom
- Calculated formation energy: -0.980 eV per formula unit
- DOS at the Fermi energy: 12.87 states/eV/cell

***

Record 3
This record from the Alexandria database describes Sr3TbPm2Se6 after structural relaxation. The functional is PBE-GGA.

a = 7.371 Å, b = 12.752 Å, c = 7.531 Å
α = 90.00°, β = 109.06°, γ = 90.00°
Space group C2/m (No. 12)
Unique sites:
Sr (0.000, 0.000, 0.000) (multiplicity 2)
Sr (0.000, 0.332, 0.000) (multiplicity 4)
Tb (0.000, 0.500, 0.500) (multiplicity 2)
Pm (0.000, 0.166, 0.500) (multiplicity 4)
Se (0.242, 0.336, 0.736) (multiplicity 8)
Se (0.248, 0.500, 0.263) (multiplicity 4)

- Formation energy without anion corrections: -1909.5 meV/atom
- DOS at the Fermi energy: 9.21 states/eV/cell

***

Record 4
This record from the Alexandria database describes KOsBr2 after structural relaxation. The functional is PBE-GGA.

a = 7.582 Å, b = 7.582 Å, c = 3.384 Å
α = 90.00°, β = 98.28°, γ = 90.00°
Space group C2/m (No. 12)
Unique sites:
K (0.000, 0.000, 0.000) (multiplicity 2)
Os (0.000, 0.500, 0.000) (multiplicity 2)
Br (0.250, 0.250, 0.500) (multiplicity 4)

- Relative energy among the computed polymorphs: 490.8 meV per atom
- Formation energy without anion corrections: 537.5 meV/atom
- DOS at the Fermi energy: 6.84 states/eV/cell

***

Record 5
This record from the Alexandria database describes K2TaRe after structural relaxation. The functional is PBE-GGA.

a = 3.292 Å, b = 6.429 Å, c = 12.240 Å
α = 90.00°, β = 90.00°, γ = 90.00°
Space group Imm2 (No. 44)
Unique sites:
K (0.000, 0.000, 0.000) (multiplicity 2)
K (0.000, 0.500, 0.206) (multiplicity 2)
Ta (0.000, 0.500, 0.803) (multiplicity 2)
Re (0.000, 0.000, 0.444) (multiplicity 2)

- Relative energy among the computed polymorphs: 438.4 meV per atom
- Calculated formation energy: 4.603 eV per formula unit
- DOS at the Fermi energy: 9.66 states/eV/cell

***

Record 6
This record from the Alexandria database describes ScNiSb after structural relaxation. The functional is PBE-GGA.

a = 3.769 Å, b = 3.769 Å, c = 8.159 Å
α = 90.00°, β = 90.00°, γ = 90.00°
Space group I4mm (No. 107)
Unique sites:
Sc (0.000, 0.000, 0.000) (multiplicity 2)
Ni (0.000, 0.000, 0.659) (multiplicity 2)
Sb (0.000, 0.000, 0.337) (multiplicity 2)

- Formation energy without anion corrections: -320.9 meV/atom
- DOS at the Fermi energy: 4.33 states/eV/cell

***

Record 7
This record from the Alexandria database describes InTc2RuC after structural relaxation. The functional is PBE-GGA.

a = 4.132 Å, b = 4.132 Å, c = 4.141 Å
α = 90.00°, β = 90.00°, γ = 90.00°
Space group P4/mmm (No. 123)
Unique sites:
In (0.000, 0.000, 0.000) (multiplicity 1)
Tc (0.000, 0.500, 0.500) (multiplicity 2)
Ru (0.500, 0.500, 0.000) (multiplicity 1)
C (0.500, 0.500, 0.500) (multiplicity 1)

- Calculated formation energy: 0.786 eV per formula unit
- DOS at the Fermi energy: 5.13 states/eV/cell

***

Record 8
This record from the Alexandria database describes AcLaPbO after structural relaxation. The functional is PBE-GGA.

a = 3.932 Å, b = 4.177 Å, c = 14.292 Å
α = 90.00°, β = 90.00°, γ = 90.00°
Space group Imm2 (No. 44)
Unique sites:
Ac (0.000, 0.000, 0.000) (multiplicity 2)
La (0.000, 0.000, 0.308) (multiplicity 2)
Pb (0.000, 0.000, 0.659) (multiplicity 2)
O (0.000, 0.500, 0.901) (multiplicity 2)

- Formation energy without anion corrections: -1696.0 meV/atom
- DOS at the Fermi energy: 5.24 states/eV/cell

***

Record 9
This record from the Alexandria database describes CaRe2H2 after structural relaxation. The functional is PBE-GGA.

a = 3.290 Å, b = 3.290 Å, c = 12.359 Å
α = 90.00°, β = 90.00°, γ = 90.00°
Space group I4/mmm (No. 139)
Unique sites:
Ca (0.000, 0.000, 0.000) (multiplicity 2)
Re (0.000, 0.000, 0.312) (multiplicity 4)
H (0.000, 0.500, 0.250) (multiplicity 4)

- Relative energy among the computed polymorphs: 0.0 meV per atom
- DOS at the Fermi energy: 6.09 states/eV/cell

***

Record 10
This record from the Alexandria database describes La4Pm3ScTe8 after structural relaxation. The functional is PBE-GGA.

a = 8.9971 Å, b = 8.9971 Å, c = 21.9427 Å
α = 90.00°, β = 90.00°, γ = 120.00°
Space group R-3m (No. 166, hexagonal axes)
Unique sites:
La (0.0000, 0.0000, 0.0000) (multiplicity 3)
La (0.0000, 0.5000, 0.0000) (multiplicity 9)
Pm (0.0000, 0.5000, 0.5000) (multiplicity 9)
Sc (0.0000, 0.0000, 0.5000) (multiplicity 3)
Te (0.0000, 0.0000, 0.2476) (multiplicity 6)
Te (0.0110, 0.5055, 0.2449) (multiplicity 18)

- Formation energy without anion corrections: -1450.7 meV/atom
- DOS at the Fermi energy: 38.51 states/eV/cell

***

Record 11
This record from the Alexandria database describes Ho3InPt12 after structural relaxation. The functional is PBE-GGA.

a = 4.102 Å, b = 4.102 Å, c = 16.326 Å
α = 90.00°, β = 90.00°, γ = 90.00°
Space group P4/mmm (No. 123)
Unique sites:
Ho (0.000, 0.000, 0.000) (multiplicity 1)
Ho (0.000, 0.000, 0.251) (multiplicity 2)
In (0.000, 0.000, 0.500) (multiplicity 1)
Pt (0.000, 0.500, 0.126) (multiplicity 4)
Pt (0.000, 0.500, 0.378) (multiplicity 4)
Pt (0.500, 0.500, 0.000) (multiplicity 1)
Pt (0.500, 0.500, 0.253) (multiplicity 2)
Pt (0.500, 0.500, 0.500) (multiplicity 1)

- Calculated formation energy: -14.120 eV per formula unit
- DOS at the Fermi energy: 16.21 states/eV/cell

***

Record 12
This record from the Alexandria database describes HoErSiNi after structural relaxation. The functional is PBE-GGA.

a = 6.855 Å, b = 6.855 Å, c = 6.855 Å
α = 90.00°, β = 90.00°, γ = 90.00°
Space group F-43m (No. 216)
Unique sites:
Ho (0.000, 0.000, 0.000) (multiplicity 4)
Er (0.000, 0.000, 0.500) (multiplicity 4)
Si (0.250, 0.250, 0.750) (multiplicity 4)
Ni (0.250, 0.250, 0.250) (multiplicity 4)

- Relative energy among the computed polymorphs: 160.0 meV per atom
- Formation energy without anion corrections: -493.8 meV/atom
- DOS at the Fermi energy: 5.56 states/eV/cell

***

What is the formula in the third record? Sr3TbPm2Se6